Density functional theory data (PBE) for Ba2TmGeO6 after structural relaxation.

Unit cell a=8.317 b=8.317 c=8.317 alpha=90.00 beta=90.00 gamma=90.00
Space group Fm-3m (No. 225)
Symmetry-distinct sites (fractional):
Ba (0.250, 0.250, 0.250)
Tm (0.000, 0.000, 0.000)
Ge (0.000, 0.000, 0.500)
O (0.000, 0.000, 0.267)

Its total moment is 0.089 μB per atom. The calculated density comes out at 7.07 g/cm3. As for the uncorrected formation energy: -2.5414 eV/atom. The calculation puts the density of states at the Fermi level at 27.69 states/eV/cell.

***

Density functional theory data (PBE) for Ce2TcNi3Ge4 after structural relaxation.

Unit cell a=4.174 b=4.174 c=9.787 alpha=90.00 beta=90.00 gamma=90.00
Space group P-4m2 (No. 115)
Symmetry-distinct sites (fractional):
Ce (0.000, 0.500, 0.246)
Tc (0.000, 0.000, 0.500)
Ni (0.000, 0.500, 0.878)
Ni (0.500, 0.500, 0.500)
Ge (0.000, 0.000, 0.000)
Ge (0.000, 0.500, 0.636)
Ge (0.500, 0.500, 0.000)

Its total moment is 0.110 μB per atom. For the formation energy, the calculation gives -0.63 eV per atom. The calculated density comes out at 8.23 g/cm3. The calculation puts the density of states at the Fermi level at 8.97 states/eV/cell.

***

- total moment of number 2 (Ce2TcNi3Ge4)?
  0.110 μB per atom

***

- Among the records above, which one has the lowest calculated density?
  Ba2TmGeO6